# 1
Computed, not measured: ScV3Pd after structural relaxation at the PBE level of DFT.

Its energy of formation is 1.01 eV/atom. The total energy comes out at -6.77 eV per atom. Its spin magnetization is 4.36 μB per formula unit. The volume comes out at 20.53 Å³/atom. The calculation puts the density of states at the Fermi level at 6.93 states/eV per cell.

a = 4.6822 Å, b = 4.6822 Å, c = 4.6822 Å
α = 90.00°, β = 90.00°, γ = 90.00°
Last column: nearest neighbours and their distance in Å.
Space group Pm-3m (No. 221)
Inequivalent atoms, fractional coordinates:
Sc 0.0000 0.0000 0.0000  12 V 3.31
V 0.0000 0.5000 0.5000  2 Pd 2.34
Pd 0.5000 0.5000 0.5000  6 V 2.34

=====

# 2
Computed, not measured: Mg2Zr2In after structural relaxation at the PBE level of DFT.

Its energy of formation is 0.11 eV/atom. The total energy comes out at -4.49 eV per atom. Its spin magnetization is 0.00 μB per formula unit. The volume comes out at 22.12 Å³/atom. The calculation puts the density of states at the Fermi level at 3.62 states/eV per cell.

a = 7.9597 Å, b = 7.9597 Å, c = 3.4920 Å
α = 90.00°, β = 90.00°, γ = 90.00°
Last column: nearest neighbours and their distance in Å.
Space group P4/mbm (No. 127)
Inequivalent atoms, fractional coordinates:
Mg 0.1224 0.3776 0.0000  1 Mg 2.76, 6 Zr 2.87-2.98
Zr 0.1757 0.6757 0.5000  6 Mg 2.87-2.98
In 0.0000 0.0000 0.0000  4 Mg 3.16, 8 Zr 3.42, 2 In 3.49

=====

# 3
Computed, not measured: Nd2SmTmSb4 after structural relaxation at the PBE level of DFT.

The total energy comes out at -5.55 eV per atom. Its spin magnetization is 0.00 μB per formula unit. The volume comes out at 31.49 Å³/atom. The calculation puts the density of states at the Fermi level at 1.05 states/eV per cell.

a = 7.7310 Å, b = 4.4694 Å, c = 7.7350 Å
α = 90.00°, β = 109.50°, γ = 90.00°
Last column: nearest neighbours and their distance in Å.
Space group P2/m (No. 10)
Inequivalent atoms, fractional coordinates:
Nd 0.0000 0.0000 0.0000  6 Sb 3.17
Nd 0.0000 0.5000 0.5000  6 Sb 3.21
Sm 0.5000 0.0000 0.5000  6 Sb 3.14
Tm 0.5000 0.5000 0.0000  6 Sb 3.10-3.11
Sb 0.2564 0.5000 0.2481  1 Tm 3.10, 2 Sm 3.14, 3 Nd 3.17-3.21
Sb 0.2594 0.0000 0.7571  2 Tm 3.11, 1 Sm 3.14, 3 Nd 3.17-3.21

=====

# 4
Computed, not measured: Sm8Tm5Th after structural relaxation at the PBE level of DFT.

Its energy of formation is 0.29 eV/atom. The total energy comes out at -4.54 eV per atom. Its spin magnetization is 0.00 μB per formula unit. The volume comes out at 33.54 Å³/atom. The calculation puts the density of states at the Fermi level at 43.43 states/eV per cell.

a = 9.5978 Å, b = 9.5978 Å, c = 10.1959 Å
α = 90.00°, β = 90.00°, γ = 90.00°
Last column: nearest neighbours and their distance in Å.
Space group I-4 (No. 82)
Inequivalent atoms, fractional coordinates:
Sm 0.0674 0.1721 0.3447  5 Tm 3.36-3.59, 3 Sm 3.55-3.61
Sm 0.0948 0.3237 0.9989  5 Tm 3.20-3.53, 1 Th 3.24
Tm 0.0000 0.5000 0.2500  8 Sm 3.20-3.36
Tm 0.1125 0.2967 0.6743  8 Sm 3.32-3.59, 2 Tm 3.51
Th 0.0000 0.0000 0.0000  4 Sm 3.24

=====

# 5
Computed, not measured: NaTa2Se4 after structural relaxation at the PBE level of DFT.

The total energy comes out at -6.20 eV per atom. Its spin magnetization is 0.00 μB per formula unit. The volume comes out at 22.33 Å³/atom. The calculation puts the density of states at the Fermi level at 15.89 states/eV per cell.

a = 3.8825 Å, b = 12.3095 Å, c = 13.0804 Å
α = 90.00°, β = 90.00°, γ = 90.00°
Last column: nearest neighbours and their distance in Å.
Space group Cmcm (No. 63)
Inequivalent atoms, fractional coordinates:
Na 0.0000 0.1269 0.2500  6 Se 3.02
Ta 0.0000 0.3846 0.0634  6 Se 2.53-2.73
Se 0.0000 0.0000 0.0000  4 Ta 2.54
Se 0.0000 0.2648 0.6058  3 Ta 2.66-2.73
Se 0.0000 0.4391 0.2500  2 Ta 2.53

=====

# 6
Computed, not measured: Li3Ga2Ni3 after structural relaxation at the PBE level of DFT.

Its energy of formation is -0.26 eV/atom. The total energy comes out at -3.90 eV per atom. Its spin magnetization is 0.00 μB per formula unit. The volume comes out at 12.25 Å³/atom. The calculation puts the density of states at the Fermi level at 3.65 states/eV per cell.

a = 3.7392 Å, b = 3.9466 Å, c = 6.6427 Å
α = 90.00°, β = 90.00°, γ = 90.00°
Last column: nearest neighbours and their distance in Å.
Space group Pmmm (No. 47)
Inequivalent atoms, fractional coordinates:
Li 0.0000 0.0000 0.0000  4 Li 2.54, 4 Ga 2.62, 4 Ni 2.72
Li 0.5000 0.0000 0.2593  6 Ni 2.46-2.62, 2 Li 2.54, 4 Ga 2.72
Ga 0.0000 0.5000 0.2591  6 Ni 2.46-2.54, 6 Li 2.62-2.72
Ni 0.0000 0.0000 0.5000  4 Li 2.46, 4 Ga 2.54, 4 Ni 2.72
Ni 0.5000 0.5000 0.0000  4 Ga 2.54, 8 Li 2.62-2.72
Ni 0.5000 0.5000 0.5000  4 Ga 2.46, 4 Li 2.54, 4 Ni 2.72

=====

# 7
Computed, not measured: Ba2Ag2TeSe2 after structural relaxation at the PBE level of DFT.

The total energy comes out at -3.93 eV per atom. Its spin magnetization is 0.00 μB per formula unit. The volume comes out at 34.17 Å³/atom.

a = 16.1360 Å, b = 4.6835 Å, c = 6.5752 Å
α = 90.00°, β = 105.69°, γ = 90.00°
Last column: nearest neighbours and their distance in Å.
Space group C2/m (No. 12)
Inequivalent atoms, fractional coordinates:
Ba 0.1606 0.0000 0.1950  4 Se 3.27-3.36, 2 Te 3.47, 1 Ag 3.63
Ag 0.1075 0.5000 0.7212  2 Se 2.67, 1 Te 2.84
Te 0.0000 0.5000 0.0000  2 Ag 2.84
Se 0.1848 0.0000 0.7044  2 Ag 2.67

=====

# 8
Computed, not measured: Ca3Pb2N after structural relaxation at the PBE level of DFT.

The total energy comes out at -3.93 eV per atom. Its spin magnetization is 0.00 μB per formula unit. The volume comes out at 25.89 Å³/atom. The calculation puts the density of states at the Fermi level at 8.55 states/eV per cell.

a = 7.0135 Å, b = 7.0135 Å, c = 10.9394 Å
α = 90.00°, β = 90.00°, γ = 120.00°
Last column: nearest neighbours and their distance in Å.
Space group R-3m (No. 166, hexagonal axes)
Inequivalent atoms, fractional coordinates:
Ca 0.0000 0.5000 0.0000  2 N 2.72
Pb 0.0000 0.0000 0.1241  1 Pb 2.72
N 0.0000 0.0000 0.5000  6 Ca 2.72

=====

# 9
Computed, not measured: Ba2NiRu after structural relaxation at the PBE level of DFT.

Its energy of formation is 0.43 eV/atom. The total energy comes out at -4.30 eV per atom. Its spin magnetization is 1.14 μB per formula unit. The volume comes out at 29.22 Å³/atom. The calculation puts the density of states at the Fermi level at 5.38 states/eV per cell.

a = 3.5591 Å, b = 3.5591 Å, c = 9.2253 Å
α = 90.00°, β = 90.00°, γ = 90.00°
Last column: nearest neighbours and their distance in Å.
Space group P4mm (No. 99)
Inequivalent atoms, fractional coordinates:
Ba 0.0000 0.0000 0.0000  1 Ni 2.90
Ba 0.5000 0.5000 0.4434  1 Ru 2.83
Ni 0.0000 0.0000 0.6859  4 Ru 2.59
Ru 0.5000 0.5000 0.7500  4 Ni 2.59, 1 Ba 2.83

=====

# 10
Computed, not measured: BPtW after structural relaxation at the PBE level of DFT.

Its energy of formation is -0.15 eV/atom. The total energy comes out at -8.71 eV per atom. Its spin magnetization is 0.00 μB per formula unit. The volume comes out at 12.88 Å³/atom. The calculation puts the density of states at the Fermi level at 2.59 states/eV per cell.

a = 2.8101 Å, b = 4.6161 Å, c = 6.5552 Å
α = 107.85°, β = 90.46°, γ = 106.34°
Last column: nearest neighbours and their distance in Å.
Space group P-1 (No. 2)
Inequivalent atoms, fractional coordinates:
B 0.0744 0.1701 0.1155  1 B 1.76
Pt 0.3830 0.7868 0.6126  2 B 2.20-2.26
W 0.1082 0.3356 0.8146  3 B 2.32-2.43

=====

# 11
Computed, not measured: AcY2Ag after structural relaxation at the PBE level of DFT.

Its energy of formation is -0.11 eV/atom. The total energy comes out at -5.08 eV per atom. Its spin magnetization is 0.00 μB per formula unit. The volume comes out at 31.00 Å³/atom. The calculation puts the density of states at the Fermi level at 5.55 states/eV per cell.

a = 3.7300 Å, b = 3.7300 Å, c = 8.9131 Å
α = 90.00°, β = 90.00°, γ = 90.00°
Last column: nearest neighbours and their distance in Å.
Space group P4/mmm (No. 123)
Inequivalent atoms, fractional coordinates:
Ac 0.0000 0.0000 0.0000  4 Ac 3.73, 8 Y 3.78
Y 0.5000 0.5000 0.3033  4 Ag 3.17, 1 Y 3.51
Ag 0.0000 0.0000 0.5000  8 Y 3.17

=====

# 12
Computed, not measured: Hf6ScCo3 after structural relaxation at the PBE level of DFT.

Its energy of formation is -0.13 eV/atom. The total energy comes out at -8.87 eV per atom. Its spin magnetization is 0.00 μB per formula unit. The volume comes out at 18.87 Å³/atom. The calculation puts the density of states at the Fermi level at 34.78 states/eV per cell.

a = 10.9177 Å, b = 10.9045 Å, c = 6.3387 Å
α = 90.00°, β = 90.00°, γ = 90.00°
Last column: nearest neighbours and their distance in Å.
Space group Cmc2_1 (No. 36)
Inequivalent atoms, fractional coordinates:
Hf 0.0000 0.0410 0.0000  4 Co 2.49-2.56
Hf 0.0000 0.3132 0.1264  4 Co 2.59-2.82
Hf 0.2053 0.4973 0.5906  4 Co 2.62-2.85
Hf 0.2220 0.2293 0.8489  1 Co 2.38
Sc 0.0000 0.2743 0.5835  4 Co 2.79-3.07, 3 Hf 2.93-2.99
Co 0.0000 0.4820 0.8395  6 Hf 2.59-2.76, 1 Sc 2.79
Co 0.1265 0.1155 0.3139  4 Hf 2.38-2.62

=====

Number 1: calculated density 4.92 g cm⁻³. Number 2: calculated density 5.19 g cm⁻³. Number 3: calculated density 7.22 g cm⁻³. Number 4: calculated density 8.06 g cm⁻³. Number 5: calculated density 7.45 g cm⁻³. Number 6: calculated density 5.70 g cm⁻³. Number 7: calculated density 5.39 g cm⁻³. Number 8: calculated density 5.86 g cm⁻³. Number 9: calculated density 6.17 g cm⁻³. Number 10: calculated density 16.75 g cm⁻³. Number 11: calculated density 6.87 g cm⁻³. Number 12: calculated density 11.38 g cm⁻³.